# PBE Nb2RuPbS, relaxed
# raw formation energy: 792 meV/atom
# calculated density: 8.1 g/cm3
data_Nb2RuPbS
_chemical_formula_sum 'Nb2 Ru1 Pb1 S1'
_cell_length_a 4.503
_cell_length_b 4.503
_cell_length_c 5.297
_cell_angle_alpha 90.00
_cell_angle_beta 90.00
_cell_angle_gamma 90.00
_space_group_name_H-M_alt 'P 4/m m m'
_space_group_IT_number 123
_space_group_name_Hall '-P 4 2'
loop_
_atom_site_label
_atom_site_type_symbol
_atom_site_fract_x
_atom_site_fract_y
_atom_site_fract_z
Nb1 Nb 0.000 0.500 0.000
Ru1 Ru 0.000 0.000 0.500
Pb1 Pb 0.500 0.500 0.500
S1 S 0.500 0.500 0.000